! CdMoAu, PBEsol geometry, DFT meta-GGA SCAN; values from VASP
! * energy: -1.6151 hartree per atom
! * calculated formation energy: 0.8705 eV per atom
! * calculated volume: 61.0 Å³ per cell
&SYSTEM
  ibrav = 0, nat = 3, ntyp = 3
/
ATOMIC_SPECIES
Cd 112.41 Cd.upf
Mo 95.94 Mo.upf
Au 196.97 Au.upf
CELL_PARAMETERS angstrom
0.000 3.125 3.125
3.125 0.000 3.125
3.125 3.125 0.000
ATOMIC_POSITIONS crystal
Cd 0.000 0.000 0.000
Mo 0.250 0.250 0.250
Au 0.500 0.500 0.500